1.
{
  "formula": "Li3Sm2Si2",
  "functional": "PBE",
  "state": "relaxed",
  "lattice": [[4.615, 0.000, 0.000], [-2.308, 5.026, 0.421], [0.000, -1.763, 5.950]],
  "species": ["Si", "Si", "Li", "Li", "Li", "Sm", "Sm"],
  "fractional_positions": [[0.155, 0.311, 0.254], [0.845, 0.689, 0.746], [0.616, 0.232, 0.431], [0.384, 0.768, 0.569], [0.500, 0.000, 0.000], [0.147, 0.293, 0.768], [0.853, 0.707, 0.232]],
  "energy_ev_per_atom": -4.1129,
  "sg": "C2/m (12)",
  "volume_a3_per_atom": 20.21
}


2.
{
  "formula": "Li2Sm2Si3",
  "functional": "PBE",
  "state": "relaxed",
  "lattice": [[-5.051, 1.619, -7.781], [7.610, -3.115, 4.589], [-2.851, -6.109, 0.580]],
  "species": ["Si", "Si", "Si", "Si", "Si", "Si", "Li", "Li", "Li", "Li", "Sm", "Sm", "Sm", "Sm"],
  "fractional_positions": [[0.059, 0.941, 0.573], [0.941, 0.059, 0.073], [0.059, 0.941, 0.927], [0.720, 0.280, 0.250], [0.280, 0.720, 0.750], [0.941, 0.059, 0.427], [0.811, 0.189, 0.940], [0.189, 0.811, 0.440], [0.811, 0.189, 0.560], [0.189, 0.811, 0.060], [0.448, 0.552, 0.750], [0.552, 0.448, 0.250], [0.657, 0.343, 0.750], [0.343, 0.657, 0.250]],
  "energy_ev_per_atom": -4.8365,
  "sg": "Cmcm (63)",
  "volume_a3_per_atom": 19.29
}


3.
{
  "formula": "LiSmSi",
  "functional": "PBE",
  "state": "relaxed",
  "lattice": [[4.725, 0.000, 0.000], [2.363, 4.092, 0.000], [2.363, 1.364, 3.858]],
  "species": ["Li", "Si", "Sm"],
  "fractional_positions": [[0.500, 0.500, 0.500], [0.250, 0.250, 0.250], [0.000, 0.000, 0.000]],
  "energy_ev_per_atom": -4.4303,
  "sg": "F-43m (216)",
  "volume_a3_per_atom": 24.87
}


4.
{
  "formula": "LiSmSi",
  "functional": "PBE",
  "state": "relaxed",
  "lattice": [[4.014, 0.000, 0.000], [0.000, 4.014, 0.000], [-2.007, -2.007, 4.106]],
  "species": ["Si", "Li", "Sm"],
  "fractional_positions": [[0.268, 0.268, 0.536], [0.955, 0.955, 0.911], [0.627, 0.627, 0.253]],
  "energy_ev_per_atom": -4.1942,
  "sg": "I4mm (107)",
  "volume_a3_per_atom": 22.05
}


5.
{
  "formula": "LiSm2Si2",
  "functional": "PBE",
  "state": "relaxed",
  "lattice": [[4.014, 0.000, 1.710], [1.297, 4.904, 2.521], [-0.041, -0.155, 5.662]],
  "species": ["Si", "Si", "Li", "Sm", "Sm"],
  "fractional_positions": [[0.000, 0.199, 0.301], [0.000, 0.801, 0.699], [0.500, 0.500, 0.000], [0.287, 0.213, 0.713], [0.713, 0.787, 0.287]],
  "energy_ev_per_atom": -5.0181,
  "sg": "Immm (71)",
  "volume_a3_per_atom": 22.61
}


6.
{
  "formula": "LiSm3Si3",
  "functional": "PBE",
  "state": "relaxed",
  "lattice": [[4.307, 0.000, 0.649], [2.124, 5.414, 0.517], [0.194, 0.040, 13.332]],
  "species": ["Si", "Si", "Si", "Si", "Si", "Si", "Sm", "Sm", "Sm", "Sm", "Sm", "Sm", "Li", "Li"],
  "fractional_positions": [[0.107, 0.861, 0.925], [0.893, 0.139, 0.075], [0.961, 0.852, 0.226], [0.882, 0.686, 0.550], [0.039, 0.148, 0.774], [0.118, 0.314, 0.450], [0.462, 0.695, 0.381], [0.538, 0.305, 0.619], [0.606, 0.713, 0.076], [0.254, 0.271, 0.221], [0.394, 0.287, 0.924], [0.746, 0.729, 0.779], [0.754, 0.088, 0.405], [0.246, 0.912, 0.595]],
  "energy_ev_per_atom": -5.2905,
  "sg": "C2/m (12)",
  "volume_a3_per_atom": 22.16
}